The following is a DFT calculation (GGA-PBE) of a relaxed PrAlSi2 crystal.

a b c (Å): 4.178 4.178 11.202
angles (deg): 90.00 90.00 120.00
Atoms (fractional coordinates):
Al (0.333, 0.667, 0.584)
Al (0.667, 0.333, 0.416)
Pr (0.000, 0.000, 0.182)
Pr (0.000, 0.000, 0.818)
Si (0.333, 0.667, 0.995)
Si (0.333, 0.667, 0.356)
Si (0.667, 0.333, 0.005)
Si (0.667, 0.333, 0.644)

Values from the calculation:
Final energy in eV/atom: -5.3233
M_tot in μB per formula unit: 0.0
Density of states at the Fermi level in states/eV per cell: 2.14
Space-group type: P-3m1, No. 164

The following is a DFT calculation (GGA-PBE) of a relaxed CeHgBr6 crystal.

a b c (Å): 7.032 7.031 7.630
angles (deg): 62.55 62.55 60.00
Atoms (fractional coordinates):
Br (0.415, 0.746, 0.749)
Br (0.910, 0.585, 0.251)
Br (0.745, 0.091, 0.749)
Br (0.585, 0.254, 0.251)
Br (0.255, 0.909, 0.251)
Br (0.090, 0.415, 0.749)
Hg (0.000, 0.000, 0.000)
Ce (0.500, 0.500, 0.500)

Values from the calculation:
Final energy in eV/atom: -3.1177
M_tot in μB per formula unit: 0.0
Space-group type: R-3, No. 148